[1]
A relaxed structure of NbTcTe2Rh, computed with PBE.

POSCAR file:
```
NbTcTe2Rh
1.0
5.3362 0.0000 0.0000
0.0000 4.7977 0.0000
0.0000 0.0000 5.3362
Te Tc Nb Rh
2 1 1 1
Direct
0.5000 0.0000 0.0000
0.0000 0.0000 0.5000
0.5000 0.5000 0.5000
0.0000 0.0000 0.0000
0.0000 0.5000 0.0000
```

Calculated values
size of the total moment = 4.3 μB per formula unit
formation energy (no corrections) = 1.187 eV/atom

***

[2]
A relaxed structure of TiNbTcRh, computed with PBE.

POSCAR file:
```
TiNbTcRh
1.0
-0.0571 3.1395 -0.3761
-2.6927 -0.2455 -1.6401
-3.2782 0.5748 5.2960
Tc Nb Rh Ti
1 1 1 1
Direct
0.5000 0.5000 0.1004
0.0000 0.0000 0.3491
0.5000 0.5000 0.6168
0.0000 0.0000 0.8617
```

Calculated values
polymorph energy (0 for the lowest one) = 0 kJ/mol of formula units
formation energy from the elements = -0.527 eV/atom
size of the total moment = 0.0 μB per formula unit

***

In order of appearance, density of states at the Fermi level = 5.78, 2.96 states/eV/cell.